Entry 1:
## Er3CuOs (PBE)

Data for a relaxed Er3CuOs crystal.

Output
E_tot, eV per atom: -6.042
Size of the total moment, μB per cell: 0.0
Formation energy from the elements, eV/atom: -0.24
Polymorph energy (0 for the lowest one), eV/f.u.: 0.000
Volume, Å³/atom: 23.051

a = 4.199 Å, b = 8.667 Å, c = 6.334 Å
α = 90.00°, β = 90.00°, γ = 90.00°
Element x y z (fractional)
Er: 0.250 0.055 0.216
Er: 0.250 0.250 0.733
Er: 0.250 0.445 0.216
Er: 0.750 0.555 0.784
Er: 0.750 0.750 0.267
Er: 0.750 0.945 0.784
Cu: 0.250 0.750 0.567
Cu: 0.750 0.250 0.433
Os: 0.250 0.750 0.972
Os: 0.750 0.250 0.028

***

Entry 2:
## Tb5Pr7 (PBE)

Data for a relaxed Tb5Pr7 crystal.

Output
E_tot, eV per atom: -4.561
Size of the total moment, μB per cell: 0.0
Formation energy from the elements, eV/atom: 0.16
Polymorph energy (0 for the lowest one), eV/f.u.: 1.775
Volume, Å³/atom: 34.832

a = 5.719 Å, b = 5.719 Å, c = 14.902 Å
α = 102.01°, β = 102.01°, γ = 62.13°
Element x y z (fractional)
Tb: 0.000 0.000 0.000
Tb: 0.138 0.138 0.440
Tb: 0.375 0.375 0.200
Tb: 0.625 0.625 0.800
Tb: 0.862 0.862 0.560
Pr: 0.039 0.039 0.213
Pr: 0.241 0.241 0.670
Pr: 0.319 0.319 0.918
Pr: 0.500 0.500 0.500
Pr: 0.681 0.681 0.082
Pr: 0.759 0.759 0.330
Pr: 0.961 0.961 0.787

***

Entry 3:
## Na4Pa3BiN8 (PBE)

Data for a relaxed Na4Pa3BiN8 crystal.

Output
E_tot, eV per atom: -7.252
Size of the total moment, μB per cell: 0.0
Volume, Å³/atom: 15.696
Formation energy (no corrections), eV/atom: -0.736

a = 7.083 Å, b = 7.083 Å, c = 7.083 Å
α = 59.97°, β = 59.97°, γ = 59.97°
Element x y z (fractional)
Na: 0.000 0.000 0.000
Na: 0.000 0.500 0.500
Na: 0.500 0.000 0.500
Na: 0.500 0.500 0.000
Pa: 0.000 0.000 0.500
Pa: 0.000 0.500 0.000
Pa: 0.500 0.000 0.000
Bi: 0.500 0.500 0.500
N: 0.218 0.741 0.741
N: 0.227 0.227 0.227
N: 0.259 0.259 0.782
N: 0.259 0.782 0.259
N: 0.741 0.218 0.741
N: 0.741 0.741 0.218
N: 0.773 0.773 0.773
N: 0.782 0.259 0.259

***

Entry 4:
## BeCrBr2 (PBE)

Data for a relaxed BeCrBr2 crystal.

Output
E_tot, eV per atom: -3.930
Size of the total moment, μB per cell: 1.9
Polymorph energy (0 for the lowest one), eV/f.u.: 1.270
Volume, Å³/atom: 19.431
Formation energy (no corrections), eV/atom: 0.244

a = 3.179 Å, b = 3.179 Å, c = 7.689 Å
α = 90.00°, β = 90.00°, γ = 90.00°
Element x y z (fractional)
Be: 0.000 0.000 0.000
Cr: 0.500 0.500 0.853
Br: 0.000 0.000 0.646
Br: 0.500 0.500 0.181

***

Entry 5:
## Ca2ZrScP (PBE)

Data for a relaxed Ca2ZrScP crystal.

Output
E_tot, eV per atom: -4.865
Size of the total moment, μB per cell: 3.5
Formation energy from the elements, eV/atom: -0.01
Volume, Å³/atom: 29.911

a = 5.447 Å, b = 5.447 Å, c = 5.041 Å
α = 90.00°, β = 90.00°, γ = 90.00°
Element x y z (fractional)
Ca: 0.000 0.500 0.000
Ca: 0.500 0.000 0.000
Zr: 0.000 0.000 0.500
Sc: 0.500 0.500 0.500
P: 0.500 0.500 0.000

***

Entry 6:
## In2MoIr (PBE)

Data for a relaxed In2MoIr crystal.

Output
E_tot, eV per atom: -5.626
Size of the total moment, μB per cell: 2.2
Formation energy from the elements, eV/atom: 0.67
Polymorph energy (0 for the lowest one), eV/f.u.: 2.679
Volume, Å³/atom: 19.931

a = 6.043 Å, b = 6.043 Å, c = 6.043 Å
α = 102.02°, β = 102.02°, γ = 125.69°
Element x y z (fractional)
In: 0.105 0.625 0.980
In: 0.375 0.355 0.480
In: 0.645 0.125 0.020
In: 0.875 0.895 0.520
Mo: 0.250 0.750 0.500
Mo: 0.500 0.500 0.000
Ir: 0.000 0.000 0.000
Ir: 0.750 0.250 0.500